Density functional theory data (PBE) for a geometry-optimized Cs2NaPdBr6 structure.

abc: 7.840 7.840 7.837
angles: 59.98 59.98 90.00
Atoms (fractional coordinates):
Cs  0.250  0.750  0.500
Cs  0.750  0.250  0.500
Br  0.766  0.766  0.000
Br  0.234  0.234  0.000
Br  0.233  0.233  0.534
Br  0.234  0.766  0.000
Br  0.767  0.767  0.466
Br  0.766  0.234  0.000
Pd  0.000  0.000  0.000
Na  0.500  0.500  0.000

Calculated values
E_form (uncorrected): -1.121 eV per atom
Raw total energy: -2.9466 eV per atom
Space-group type: I4/mmm (139)
Relative energy among the computed polymorphs: 9 meV per atom

=====

Density functional theory data (PBE) for a geometry-optimized RbPt structure.

abc: 4.395 5.653 15.583
angles: 90.00 90.00 90.00
Atoms (fractional coordinates):
Rb  0.000  0.000  0.000
Rb  0.500  0.000  0.181
Rb  0.000  0.500  0.319
Rb  0.500  0.000  0.819
Rb  0.000  0.500  0.681
Rb  0.500  0.500  0.500
Pt  0.500  0.000  0.407
Pt  0.000  0.000  0.500
Pt  0.500  0.500  0.000
Pt  0.000  0.500  0.093
Pt  0.000  0.500  0.907
Pt  0.500  0.000  0.593

Calculated values
Raw total energy: -3.4221 eV per atom
Space-group type: Immm (71)
Energy of formation: 0.08 eV per atom

=====

Density functional theory data (PBE) for a geometry-optimized GaSnPb2 structure.

abc: 3.481 3.481 9.170
angles: 90.00 90.00 90.00
Atoms (fractional coordinates):
Ga  0.500  0.500  0.000
Pb  0.000  0.000  0.232
Pb  0.000  0.000  0.768
Sn  0.500  0.500  0.500

Calculated values
Raw total energy: -3.5673 eV per atom
Space-group type: P4/mmm (123)
Energy of formation: 0.04 eV per atom
Relative energy among the computed polymorphs: 0 meV per atom